Here is a geometry-optimized AcPm2Hg3 structure from Alexandria. Energies are from PBE.

Properties
Mass density (g cm⁻³): 10.50
Density of states at the Fermi level (states/eV per cell): 27.49
ΔE_f (eV per atom): -0.46

The structure in CIF format:
```
data_AcPm2Hg3
_symmetry_space_group_name_H-M 'C m m m'
_symmetry_Int_Tables_number 65
_symmetry_space_group_name_Hall '-C 2 2'
_cell_length_a 5.478
_cell_length_b 16.483
_cell_length_c 7.835
_cell_angle_alpha 90.00
_cell_angle_beta 90.00
_cell_angle_gamma 90.00
loop_
_atom_site_label
_atom_site_type_symbol
_atom_site_fract_x
_atom_site_fract_y
_atom_site_fract_z
_atom_site_occupancy
Ac1 Ac 0.000 0.165 0.000 1
Pm1 Pm 0.000 0.169 0.500 1
Pm2 Pm 0.000 0.500 0.000 1
Pm3 Pm 0.000 0.500 0.500 1
Hg1 Hg 0.000 0.000 0.267 1
Hg2 Hg 0.000 0.338 0.267 1
```

Here is a geometry-optimized Ac3PmHg structure from Alexandria. Energies are from PBE.

Properties
Mass density (g cm⁻³): 8.16
Density of states at the Fermi level (states/eV per cell): 31.95
ΔE_f (eV per atom): -0.02

The structure in CIF format:
```
data_Ac3PmHg
_symmetry_space_group_name_H-M 'C 1 2/m 1'
_symmetry_Int_Tables_number 12
_symmetry_space_group_name_Hall '-C 2y'
_cell_length_a 12.454
_cell_length_b 9.669
_cell_length_c 8.352
_cell_angle_alpha 90.00
_cell_angle_beta 123.79
_cell_angle_gamma 90.00
loop_
_atom_site_label
_atom_site_type_symbol
_atom_site_fract_x
_atom_site_fract_y
_atom_site_fract_z
_atom_site_occupancy
Ac1 Ac 0.044 0.000 0.306 1
Ac2 Ac 0.190 0.294 0.705 1
Pm1 Pm 0.076 0.500 0.262 1
Hg1 Hg 0.223 0.500 0.058 1
```